P.
{
  "formula": "Tb4Zn3Cu",
  "functional": "GGA-PBE",
  "state": "optimized geometry",
  "lattice_angstrom": [[3.618, 0.000, 0.000], [0.000, 4.493, 0.000], [0.000, 0.000, 11.340]],
  "species": ["Tb", "Tb", "Tb", "Tb", "Zn", "Zn", "Zn", "Cu"],
  "frac_coords": [[0.000, 0.000, 0.000], [0.000, 0.500, 0.291], [0.500, 0.000, 0.489], [0.500, 0.500, 0.798], [0.000, 0.000, 0.713], [0.000, 0.500, 0.574], [0.500, 0.500, 0.076], [0.500, 0.000, 0.214]],
  "dos_ef_per_ev_atom": 1.143,
  "sg": "Pmm2 (25)"
}

Q.
{
  "formula": "Tb4Zn3Cu",
  "functional": "GGA-PBE",
  "state": "optimized geometry",
  "lattice_angstrom": [[3.558, 0.000, 0.000], [0.000, 3.558, 0.000], [0.000, 0.000, 14.253]],
  "species": ["Tb", "Tb", "Tb", "Tb", "Zn", "Zn", "Zn", "Cu"],
  "frac_coords": [[0.000, 0.000, 0.121], [0.000, 0.000, 0.374], [0.000, 0.000, 0.626], [0.000, 0.000, 0.879], [0.500, 0.500, 0.248], [0.500, 0.500, 0.500], [0.500, 0.500, 0.752], [0.500, 0.500, 0.000]],
  "dos_ef_per_ev_atom": 0.933,
  "sg": "P4/mmm (123)"
}

Most stable to least stable, the ends of the list are Q and P.

P.
{
  "formula": "Tb2ZrCu",
  "functional": "GGA-PBE",
  "state": "optimized geometry",
  "lattice_angstrom": [[3.418, 0.000, 0.000], [0.000, 3.418, 0.000], [0.000, 0.000, 8.253]],
  "species": ["Tb", "Tb", "Zr", "Cu"],
  "frac_coords": [[0.000, 0.000, 0.218], [0.000, 0.000, 0.782], [0.500, 0.500, 0.500], [0.500, 0.500, 0.000]],
  "dos_ef_per_ev_atom": 0.874,
  "sg": "P4/mmm (123)"
}

Q.
{
  "formula": "Tb2ZrCu",
  "functional": "GGA-PBE",
  "state": "optimized geometry",
  "lattice_angstrom": [[1.624, 0.938, 10.911], [-1.624, 0.938, 10.911], [0.000, -1.875, 10.911]],
  "species": ["Tb", "Tb", "Zr", "Cu"],
  "frac_coords": [[0.098, 0.098, 0.098], [0.902, 0.902, 0.902], [0.000, 0.000, 0.000], [0.500, 0.500, 0.500]],
  "dos_ef_per_ev_atom": 0.910,
  "sg": "R-3m (166)"
}

Most stable to least stable, the ends of the list are P and Q.

P.
{
  "formula": "Cu2Tc",
  "functional": "GGA-PBE",
  "state": "optimized geometry",
  "lattice_angstrom": [[7.461, 0.000, 0.000], [-3.731, 6.462, 0.000], [0.000, 0.000, 2.468]],
  "species": ["Cu", "Cu", "Cu", "Cu", "Cu", "Cu", "Tc", "Tc", "Tc"],
  "frac_coords": [[0.000, 0.310, 0.000], [0.000, 0.641, 0.500], [0.310, 0.000, 0.000], [0.359, 0.359, 0.500], [0.641, 0.000, 0.500], [0.690, 0.690, 0.000], [0.000, 0.000, 0.500], [0.333, 0.667, 0.000], [0.667, 0.333, 0.000]],
  "dos_ef_per_ev_atom": 1.223,
  "sg": "P-62m (189)"
}

Q.
{
  "formula": "Cu2Tc",
  "functional": "GGA-PBE",
  "state": "optimized geometry",
  "lattice_angstrom": [[5.813, 0.000, 0.000], [0.000, 5.813, 0.000], [0.000, 0.000, 5.813]],
  "species": ["Cu", "Cu", "Cu", "Cu", "Cu", "Cu", "Cu", "Cu", "Tc", "Tc", "Tc", "Tc"],
  "frac_coords": [[0.119, 0.119, 0.119], [0.119, 0.381, 0.619], [0.381, 0.619, 0.119], [0.381, 0.881, 0.619], [0.619, 0.119, 0.381], [0.619, 0.381, 0.881], [0.881, 0.619, 0.381], [0.881, 0.881, 0.881], [0.000, 0.000, 0.500], [0.000, 0.500, 0.000], [0.500, 0.000, 0.000], [0.500, 0.500, 0.500]],
  "dos_ef_per_ev_atom": 0.772,
  "sg": "Pa-3 (205)"
}

R.
{
  "formula": "Cu2Tc",
  "functional": "GGA-PBE",
  "state": "optimized geometry",
  "lattice_angstrom": [[2.635, 0.000, 0.000], [-1.318, 2.282, 0.000], [0.000, 0.000, 6.524]],
  "species": ["Cu", "Cu", "Tc"],
  "frac_coords": [[0.333, 0.667, 0.159], [0.667, 0.333, 0.841], [0.000, 0.000, 0.500]],
  "dos_ef_per_ev_atom": 0.566,
  "sg": "P-3m1 (164)"
}

S.
{
  "formula": "Cu2Tc",
  "functional": "GGA-PBE",
  "state": "optimized geometry",
  "lattice_angstrom": [[1.955, -5.399, 0.000], [1.955, 5.399, 0.000], [0.000, 0.000, 3.714]],
  "species": ["Cu", "Cu", "Cu", "Cu", "Tc", "Tc"],
  "frac_coords": [[0.090, 0.910, 0.750], [0.246, 0.754, 0.250], [0.754, 0.246, 0.750], [0.910, 0.090, 0.250], [0.426, 0.574, 0.750], [0.574, 0.426, 0.250]],
  "dos_ef_per_ev_atom": 0.750,
  "sg": "Cmcm (63)"
}

Most stable to least stable, the ends of the list are R and Q.

P.
{
  "formula": "Cu2Tc",
  "functional": "GGA-PBE",
  "state": "optimized geometry",
  "lattice_angstrom": [[-1.277, 1.277, 5.936], [1.277, -1.277, 5.936], [1.277, 1.277, -5.936]],
  "species": ["Cu", "Cu", "Tc"],
  "frac_coords": [[0.171, 0.171, 0.000], [0.829, 0.829, 0.000], [0.500, 0.500, 0.000]],
  "dos_ef_per_ev_atom": 0.898,
  "sg": "I4/mmm (139)"
}

Q.
{
  "formula": "Cu2Tc",
  "functional": "GGA-PBE",
  "state": "optimized geometry",
  "lattice_angstrom": [[1.335, -6.940, 0.000], [1.335, 6.940, 0.000], [0.000, 0.000, 4.230]],
  "species": ["Cu", "Cu", "Cu", "Cu", "Tc", "Tc"],
  "frac_coords": [[0.056, 0.944, 0.750], [0.397, 0.603, 0.750], [0.603, 0.397, 0.250], [0.944, 0.056, 0.250], [0.279, 0.721, 0.250], [0.721, 0.279, 0.750]],
  "dos_ef_per_ev_atom": 0.353,
  "sg": "Cmcm (63)"
}

Most stable to least stable, the ends of the list are Q and P.